Na6Sr12Tl | PBE | optimized geometry

a = 9.655 Å, b = 9.655 Å, c = 9.655 Å
α = 88.41°, β = 88.41°, γ = 88.41°
Atoms (fractional coordinates):
Na (0.235, 0.758, 0.397)
Na (0.242, 0.603, 0.765)
Na (0.397, 0.235, 0.758)
Na (0.603, 0.765, 0.242)
Na (0.758, 0.397, 0.235)
Na (0.765, 0.242, 0.603)
Sr (0.037, 0.300, 0.940)
Sr (0.060, 0.963, 0.700)
Sr (0.145, 0.353, 0.481)
Sr (0.300, 0.940, 0.037)
Sr (0.353, 0.481, 0.145)
Sr (0.481, 0.145, 0.353)
Sr (0.519, 0.855, 0.647)
Sr (0.647, 0.519, 0.855)
Sr (0.700, 0.060, 0.963)
Sr (0.855, 0.647, 0.519)
Sr (0.940, 0.037, 0.300)
Sr (0.963, 0.700, 0.060)
Tl (0.500, 0.500, 0.500)

Values from the calculation:
- ρ: 2.57 g/cm3
- E_tot: -1.574 eV per atom
- ΔH_f (0 K): 0.03 eV per atom
- SG: R-3, No. 148